Entry 1:
## KRb2NaBr (GGA-PBE)

Data for a geometry-optimized KRb2NaBr structure.

Results
Its space group is P4/mmm (123). The uncorrected formation energy is -0.63 eV/atom. The energy above the lowest structure with this stoichiometry comes out at 0 meV/atom. As for the magnetic moment: 0.000 μB/f.u. For the calculated total energy, the calculation gives -9.155 eV/f.u.

a b c (Å): 6.860 6.860 6.519
angles (deg): 90.00 90.00 90.00
Atoms (fractional coordinates):
Rb 0.500 0.000 0.000
Rb 0.000 0.500 0.000
Na 0.500 0.500 0.500
Br 0.000 0.000 0.000
K 0.000 0.000 0.500

Entry 2:
## La8Co3RuI4 (GGA-PBE)

Data for a geometry-optimized La8Co3RuI4 structure.

Results
Its space group is C2/m (12). The uncorrected formation energy is -0.71 eV/atom. As for the magnetic moment: 0.000 μB/f.u. For the calculated total energy, the calculation gives -87.595 eV/f.u.

a b c (Å): 8.278 9.556 8.287
angles (deg): 115.79 119.96 90.00
Atoms (fractional coordinates):
Co 0.500 0.500 0.000
Co 0.500 0.500 0.500
Co 0.000 0.500 0.500
La 0.273 0.320 0.547
La 0.771 0.317 0.542
La 0.274 0.316 0.045
La 0.726 0.684 0.955
La 0.727 0.680 0.453
La 0.229 0.683 0.458
La 0.229 0.684 0.955
La 0.771 0.316 0.045
I 0.500 0.000 0.000
I 0.500 0.000 0.500
I 0.000 0.000 0.500
I 0.000 0.000 0.000
Ru 0.000 0.500 0.000

Entry 3:
## K2NpCl6 (GGA-PBE)

Data for a geometry-optimized K2NpCl6 structure.

Results
Its space group is P4_2/mnm (136). The uncorrected formation energy is -1.83 eV/atom. As for the magnetic moment: 3.000 μB/f.u. For the calculated total energy, the calculation gives -42.726 eV/f.u.

a b c (Å): 6.970 6.970 13.611
angles (deg): 90.00 90.00 90.00
Atoms (fractional coordinates):
Cl 0.818 0.182 0.859
Cl 0.682 0.682 0.359
Cl 0.734 0.734 0.000
Cl 0.234 0.766 0.500
Cl 0.182 0.818 0.859
Cl 0.182 0.818 0.141
Cl 0.266 0.266 0.000
Cl 0.682 0.682 0.641
Cl 0.318 0.318 0.359
Cl 0.318 0.318 0.641
Cl 0.818 0.182 0.141
Cl 0.766 0.234 0.500
Np 0.500 0.500 0.500
Np 0.000 0.000 0.000
K 0.000 0.000 0.334
K 0.500 0.500 0.834
K 0.500 0.500 0.166
K 0.000 0.000 0.666

Entry 4:
## KNaReBr6 (GGA-PBE)

Data for a geometry-optimized KNaReBr6 structure.

Results
Its space group is P-31c (163). The uncorrected formation energy is -0.89 eV/atom. As for the magnetic moment: 3.000 μB/f.u. For the calculated total energy, the calculation gives -32.873 eV/f.u.

a b c (Å): 7.348 7.348 13.688
angles (deg): 90.00 90.00 120.00
Atoms (fractional coordinates):
Na 0.667 0.333 0.750
Na 0.333 0.667 0.250
Br 0.393 0.347 0.358
Br 0.046 0.393 0.642
Br 0.954 0.607 0.358
Br 0.607 0.653 0.642
Br 0.046 0.653 0.858
Br 0.607 0.954 0.858
Br 0.347 0.954 0.642
Br 0.954 0.347 0.142
Br 0.347 0.393 0.858
Br 0.653 0.607 0.142
Br 0.393 0.046 0.142
Br 0.653 0.046 0.358
K 0.000 0.000 0.500
K 0.000 0.000 0.000
Re 0.333 0.667 0.750
Re 0.667 0.333 0.250

Entry 5:
## TiAsN2O (GGA-PBE)

Data for a geometry-optimized TiAsN2O structure.

Results
Its space group is P4/mmm (123). The uncorrected formation energy is 0.01 eV/atom. As for the magnetic moment: 0.002 μB/f.u. For the calculated total energy, the calculation gives -34.089 eV/f.u.

a b c (Å): 4.007 4.007 3.749
angles (deg): 90.00 90.00 90.00
Atoms (fractional coordinates):
As 0.500 0.500 0.500
N 0.500 0.000 0.000
N 0.000 0.500 0.000
Ti 0.000 0.000 0.000
O 0.000 0.000 0.500

Entry 6:
## Pr3Nd8Er (GGA-PBE)

Data for a geometry-optimized Pr3Nd8Er structure.

Results
Its space group is C2 (5). The energy of formation is 0.031 eV/atom. As for the magnetic moment: 0.000 μB/f.u. For the calculated total energy, the calculation gives -56.672 eV/f.u.

a b c (Å): 8.743 8.743 8.762
angles (deg): 94.26 101.29 136.84
Atoms (fractional coordinates):
Er 0.833 0.833 0.000
Nd 0.498 0.332 0.166
Nd 0.166 0.753 0.917
Nd 0.161 0.829 0.331
Nd 0.836 0.753 0.587
Nd 0.835 0.249 0.083
Nd 0.166 0.249 0.413
Nd 0.166 0.332 0.834
Nd 0.498 0.830 0.669
Pr 0.505 0.753 0.249
Pr 0.832 0.332 0.500
Pr 0.505 0.256 0.751

Entry 7:
## SiAgP (GGA-PBE)

Data for a geometry-optimized SiAgP structure.

Results
Its space group is P3m1 (156). The uncorrected formation energy is 0.45 eV/atom. The energy above the lowest structure with this stoichiometry comes out at 370 meV/atom. As for the magnetic moment: 0.000 μB/f.u. For the calculated total energy, the calculation gives -12.323 eV/f.u.

a b c (Å): 4.635 4.635 2.732
angles (deg): 90.00 90.00 120.00
Atoms (fractional coordinates):
Si 0.667 0.333 0.335
P 0.333 0.667 0.334
Ag 0.000 0.000 0.331

Entry 8:
## PuInF (GGA-PBE)

Data for a geometry-optimized PuInF structure.

Results
Its space group is I4mm (107). The uncorrected formation energy is -1.29 eV/atom. The energy above the lowest structure with this stoichiometry comes out at 182 meV/atom. As for the magnetic moment: 6.294 μB/f.u. For the calculated total energy, the calculation gives -22.814 eV/f.u.

a b c (Å): 3.399 3.399 6.507
angles (deg): 105.14 105.14 90.00
Atoms (fractional coordinates):
In 0.005 0.005 0.010
Pu 0.719 0.719 0.438
F 0.276 0.276 0.551

Entry 9:
## GePb2C (GGA-PBE)

Data for a geometry-optimized GePb2C structure.

Results
Its space group is Fm-3m (225). The energy above the lowest structure with this stoichiometry comes out at 449 meV/atom. The energy of formation is 1.396 eV/atom. As for the magnetic moment: 0.000 μB/f.u. For the calculated total energy, the calculation gives -15.673 eV/f.u.

a b c (Å): 4.999 4.999 4.999
angles (deg): 60.00 60.00 60.00
Atoms (fractional coordinates):
C 0.000 0.000 0.000
Pb 0.250 0.250 0.250
Pb 0.750 0.750 0.750
Ge 0.500 0.500 0.500

Entry 10:
## ZrTc4Os (GGA-PBE)

Data for a geometry-optimized ZrTc4Os structure.

Results
Its space group is F-43m (216). The energy of formation is 0.083 eV/atom. As for the magnetic moment: 0.000 μB/f.u. For the calculated total energy, the calculation gives -60.743 eV/f.u.

a b c (Å): 5.146 5.146 5.146
angles (deg): 60.00 60.00 60.00
Atoms (fractional coordinates):
Tc 0.376 0.376 0.376
Tc 0.376 0.871 0.376
Tc 0.376 0.376 0.871
Tc 0.871 0.376 0.376
Zr 0.750 0.750 0.750
Os 0.000 0.000 0.000

Entry 11:
## TbPa2Ru (GGA-PBE)

Data for a geometry-optimized TbPa2Ru structure.

Results
Its space group is R-3m (166). The energy above the lowest structure with this stoichiometry comes out at 47 meV/atom. The energy of formation is -0.011 eV/atom. As for the magnetic moment: 0.000 μB/f.u. For the calculated total energy, the calculation gives -32.940 eV/f.u.

a b c (Å): 3.651 3.651 9.252
angles (deg): 78.62 78.62 60.00
Atoms (fractional coordinates):
Pa 0.269 0.269 0.194
Pa 0.731 0.731 0.806
Tb 0.500 0.500 0.500
Ru 0.000 0.000 0.000

Entry 12:
## KV2Ag (GGA-PBE)

Data for a geometry-optimized KV2Ag structure.

Results
Its space group is I-42d (122). The energy above the lowest structure with this stoichiometry comes out at 0 meV/atom. The energy of formation is 1.265 eV/atom. As for the magnetic moment: 0.000 μB/f.u. For the calculated total energy, the calculation gives -17.127 eV/f.u.

a b c (Å): 4.089 4.089 11.200
angles (deg): 79.48 79.48 90.00
Atoms (fractional coordinates):
V 0.980 0.625 0.250
V 0.375 0.230 0.750
V 0.770 0.125 0.250
V 0.875 0.020 0.750
Ag 0.750 0.250 0.500
Ag 0.000 0.000 0.000
K 0.250 0.750 0.500
K 0.500 0.500 0.000

Entry 13:
## BeSn (GGA-PBE)

Data for a geometry-optimized BeSn structure.

Results
Its space group is Pm-3n (223). The energy above the lowest structure with this stoichiometry comes out at 558 meV/atom. The energy of formation is 0.783 eV/atom. As for the magnetic moment: 0.000 μB/f.u. For the calculated total energy, the calculation gives -6.164 eV/f.u.

a b c (Å): 6.993 6.993 6.993
angles (deg): 90.00 90.00 90.00
Atoms (fractional coordinates):
Be 0.000 0.500 0.250
Be 0.500 0.250 0.000
Be 0.750 0.000 0.500
Be 0.500 0.750 0.000
Be 0.250 0.000 0.500
Be 0.000 0.500 0.750
Sn 0.000 0.250 0.500
Sn 0.500 0.000 0.250
Sn 0.250 0.500 0.000
Sn 0.500 0.000 0.750
Sn 0.000 0.750 0.500
Sn 0.750 0.500 0.000

Entry 14:
## Cr2CoAs (GGA-PBE)

Data for a geometry-optimized Cr2CoAs structure.

Results
Its space group is Cmmm (65). The energy of formation is 0.151 eV/atom. As for the magnetic moment: 1.080 μB/f.u. For the calculated total energy, the calculation gives -30.399 eV/f.u.

a b c (Å): 4.431 4.431 2.729
angles (deg): 90.00 90.00 115.60
Atoms (fractional coordinates):
Cr 0.500 0.500 0.000
Cr 0.000 0.000 0.000
Co 0.000 0.500 0.500
As 0.500 0.000 0.500

Entry 15:
## NiPd6Au8 (GGA-PBE)

Data for a geometry-optimized NiPd6Au8 structure.

Results
Its space group is P-3 (147). The energy of formation is 0.114 eV/atom. As for the magnetic moment: 1.597 μB/f.u. For the calculated total energy, the calculation gives -61.444 eV/f.u.

a b c (Å): 5.525 7.623 7.623
angles (deg): 120.00 90.00 90.00
Atoms (fractional coordinates):
Au 0.578 0.333 0.667
Au 0.131 0.983 0.657
Au 0.869 0.657 0.674
Au 0.131 0.674 0.017
Au 0.869 0.017 0.343
Au 0.422 0.667 0.333
Au 0.131 0.343 0.326
Au 0.869 0.326 0.983
Pd 0.637 0.689 0.021
Pd 0.637 0.331 0.311
Pd 0.363 0.311 0.979
Pd 0.637 0.979 0.669
Pd 0.363 0.021 0.331
Pd 0.363 0.669 0.689
Ni 0.500 0.000 0.000

Entry 16:
## BaIn2Tc (GGA-PBE)

Data for a geometry-optimized BaIn2Tc structure.

Results
Its space group is Pmmm (47). The energy above the lowest structure with this stoichiometry comes out at 442 meV/atom. The energy of formation is 0.574 eV/atom. As for the magnetic moment: 2.507 μB/f.u. For the calculated total energy, the calculation gives -15.470 eV/f.u.

a b c (Å): 4.592 4.663 5.134
angles (deg): 90.00 90.00 90.00
Atoms (fractional coordinates):
Ba 0.000 0.500 0.500
Tc 0.500 0.000 0.500
In 0.500 0.500 0.000
In 0.000 0.000 0.000

Entry 17:
## AcPuZn2 (GGA-PBE)

Data for a geometry-optimized AcPuZn2 structure.

Results
Its space group is P4/mmm (123). The energy above the lowest structure with this stoichiometry comes out at 0 meV/atom. The energy of formation is -0.111 eV/atom. As for the magnetic moment: 6.080 μB/f.u. For the calculated total energy, the calculation gives -21.431 eV/f.u.

a b c (Å): 3.763 3.763 7.412
angles (deg): 90.00 90.00 90.00
Atoms (fractional coordinates):
Zn 0.000 0.000 0.780
Zn 0.000 0.000 0.220
Pu 0.500 0.500 0.000
Ac 0.500 0.500 0.500

Entry 18:
## Be2HgPt (GGA-PBE)

Data for a geometry-optimized Be2HgPt structure.

Results
Its space group is P2/m (10). The energy above the lowest structure with this stoichiometry comes out at 0 meV/atom. The energy of formation is -0.163 eV/atom. As for the magnetic moment: 0.000 μB/f.u. For the calculated total energy, the calculation gives -14.448 eV/f.u.

a b c (Å): 3.000 3.013 6.795
angles (deg): 62.59 90.00 90.00
Atoms (fractional coordinates):
Be 0.000 0.046 0.945
Be 0.000 0.454 0.555
Pt 0.500 0.750 0.750
Hg 0.500 0.250 0.250

Entry 19:
## LiCd2AgO4 (GGA-PBE)

Data for a geometry-optimized LiCd2AgO4 structure.

Results
Its space group is C2/c (15). The uncorrected formation energy is -0.85 eV/atom. As for the magnetic moment: 0.000 μB/f.u. For the calculated total energy, the calculation gives -33.212 eV/f.u.

a b c (Å): 6.277 6.277 6.851
angles (deg): 116.89 116.89 90.66
Atoms (fractional coordinates):
O 0.182 0.203 0.922
O 0.297 0.318 0.578
O 0.278 0.740 0.539
O 0.703 0.682 0.422
O 0.240 0.778 0.039
O 0.722 0.260 0.461
O 0.760 0.222 0.961
O 0.818 0.797 0.078
Li 0.000 0.500 0.000
Li 0.000 0.500 0.500
Cd 0.000 0.000 0.500
Cd 0.500 0.000 0.500
Cd 0.500 0.500 0.000
Cd 0.500 0.000 0.000
Ag 0.000 0.000 0.000
Ag 0.500 0.500 0.500

Entry 20:
## Be2Hg5Pd12 (GGA-PBE)

Data for a geometry-optimized Be2Hg5Pd12 structure.

Results
Its space group is C2/m (12). The energy of formation is -0.128 eV/atom. As for the magnetic moment: 0.000 μB/f.u. For the calculated total energy, the calculation gives -73.706 eV/f.u.

a b c (Å): 5.874 7.733 7.814
angles (deg): 78.72 90.00 112.32
Atoms (fractional coordinates):
Pd 0.007 0.014 0.829
Pd 0.596 0.692 0.026
Pd 0.993 0.986 0.171
Pd 0.900 0.304 0.600
Pd 0.405 0.304 0.600
Pd 0.490 0.980 0.755
Pd 0.096 0.692 0.026
Pd 0.510 0.020 0.245
Pd 0.100 0.696 0.400
Pd 0.904 0.308 0.974
Pd 0.404 0.308 0.974
Pd 0.595 0.696 0.400
Hg 0.800 0.599 0.734
Hg 0.702 0.404 0.275
Hg 0.000 0.000 0.500
Hg 0.200 0.401 0.266
Hg 0.298 0.596 0.725
Be 0.685 0.000 0.000
Be 0.315 0.000 0.000